# RbMo2P3O12

An optimized crystal structure of RbMo2P3O12 (GGA+U, the Alexandria database).

POSCAR file:
```
RbMo2P3O12
1.0
9.019 0.000 0.000
0.000 9.461 0.000
0.000 0.000 12.502
Rb Mo P O
4 8 12 48
Direct
0.184 0.162 0.250
0.184 0.338 0.750
0.816 0.662 0.250
0.816 0.838 0.750
0.247 0.530 0.100
0.247 0.530 0.400
0.247 0.970 0.600
0.247 0.970 0.900
0.753 0.030 0.100
0.753 0.030 0.400
0.753 0.470 0.600
0.753 0.470 0.900
0.027 0.250 0.000
0.027 0.250 0.500
0.409 0.640 0.630
0.409 0.640 0.870
0.409 0.860 0.130
0.409 0.860 0.370
0.591 0.140 0.630
0.591 0.140 0.870
0.591 0.360 0.130
0.591 0.360 0.370
0.973 0.750 0.000
0.973 0.750 0.500
0.067 0.664 0.080
0.067 0.664 0.420
0.067 0.836 0.580
0.067 0.836 0.920
0.125 0.151 0.568
0.125 0.151 0.932
0.125 0.349 0.068
0.125 0.349 0.432
0.212 0.518 0.250
0.212 0.982 0.750
0.301 0.551 0.563
0.301 0.551 0.937
0.301 0.949 0.063
0.301 0.949 0.437
0.360 0.591 0.750
0.360 0.909 0.250
0.388 0.701 0.122
0.388 0.701 0.378
0.388 0.799 0.622
0.388 0.799 0.878
0.428 0.106 0.616
0.428 0.106 0.884
0.428 0.394 0.116
0.428 0.394 0.384
0.572 0.606 0.616
0.572 0.606 0.884
0.572 0.894 0.116
0.572 0.894 0.384
0.612 0.201 0.122
0.612 0.201 0.378
0.612 0.299 0.622
0.612 0.299 0.878
0.640 0.091 0.750
0.640 0.409 0.250
0.699 0.051 0.563
0.699 0.051 0.937
0.699 0.449 0.063
0.699 0.449 0.437
0.788 0.018 0.250
0.788 0.482 0.750
0.875 0.651 0.568
0.875 0.651 0.932
0.875 0.849 0.068
0.875 0.849 0.432
0.933 0.164 0.080
0.933 0.164 0.420
0.933 0.336 0.580
0.933 0.336 0.920
```

Values from the calculation:
Energy, hartree per atom: -0.2627
Space group: Pbcm
Magnetic moment, μB/cell: 16.0